Record 1
Here is a geometry-optimized Fe4ReIr5 structure from Alexandria via LeMat-Bulk. Energies are from PBE.

Lattice parameters (Å, degrees): 2.7069 2.7069 18.4247 90.00 90.00 90.00
Closest atoms and distances in Å follow each position.
Space group P4/mmm (No. 123)
Asymmetric unit:
Fe 0.0000 0.0000 0.0977  8 Ir 2.62-2.63, 4 Fe 2.71
Fe 0.0000 0.0000 0.2937  8 Ir 2.64-2.68, 4 Fe 2.71
Re 0.0000 0.0000 0.5000  4 Re 2.71, 8 Ir 2.72
Ir 0.5000 0.5000 0.0000  8 Fe 2.63, 4 Ir 2.71
Ir 0.5000 0.5000 0.1948  8 Fe 2.62-2.64, 4 Ir 2.71
Ir 0.5000 0.5000 0.3954  4 Fe 2.68, 4 Ir 2.71, 4 Re 2.72

Output
energy of formation from the pure elements: -0.074 eV per atom
electronic total energy: -0.671 Ry per atom

***

Record 2
Here is a geometry-optimized ZrNpMnTc structure from Alexandria via LeMat-Bulk. Energies are from PBE.

Lattice parameters (Å, degrees): 6.5946 6.5946 6.5946 90.00 90.00 90.00
Closest atoms and distances in Å follow each position.
Space group F-43m (No. 216)
Asymmetric unit:
Zr 0.0000 0.0000 0.0000  4 Tc 2.86, 4 Mn 2.86
Np 0.0000 0.0000 0.5000  4 Mn 2.86, 4 Tc 2.86
Mn 0.2500 0.2500 0.2500  4 Zr 2.86, 4 Np 2.86
Tc 0.2500 0.2500 0.7500  4 Zr 2.86, 4 Np 2.86

Output
energy of formation from the pure elements: 0.057 eV per atom
electronic total energy: -0.750 Ry per atom

***

Record 3
Here is a geometry-optimized Sr3Ag2Sb3 structure from Alexandria via LeMat-Bulk. Energies are from PBE.

Lattice parameters (Å, degrees): 4.7955 12.2660 16.3304 90.00 90.00 90.00
Closest atoms and distances in Å follow each position.
Space group Cmcm (No. 63)
Asymmetric unit:
Sr 0.0000 0.0815 0.1030  2 Ag 3.36, 7 Sb 3.47-3.72
Sr 0.0000 0.3503 0.2500  5 Sb 3.33-3.62, 4 Ag 3.54
Ag 0.0000 0.2262 0.6008  4 Sb 2.84-3.02
Sb 0.0000 0.3545 0.7500  2 Ag 2.90
Sb 0.0000 0.3751 0.0468  3 Ag 2.84-3.02

Output
electronic total energy: -0.266 Ry per atom

***

Record 4
Here is a geometry-optimized Pr2Ga3Pd structure from Alexandria via LeMat-Bulk. Energies are from PBE.

Lattice parameters (Å, degrees): 7.7977 8.9699 15.5917 90.00 90.00 90.00
Closest atoms and distances in Å follow each position.
Space group Fmmm (No. 69)
Asymmetric unit:
Pr 0.2367 0.0000 0.0000  10 Ga 3.19-3.30, 2 Pd 3.21
Pr 0.2500 0.2500 0.2500  4 Pd 3.23, 8 Ga 3.25
Ga 0.0000 0.0000 0.3350  2 Ga 2.56, 1 Pd 2.59
Ga 0.0000 0.2481 0.4165  2 Ga 2.56-2.61, 1 Pd 2.62
Pd 0.0000 0.0000 0.1686  3 Ga 2.59-2.62

Output
energy of formation from the pure elements: -0.729 eV per atom
electronic total energy: -0.345 Ry per atom

***

Record 5
Here is a geometry-optimized KTc2Ru structure from Alexandria via LeMat-Bulk. Energies are from PBE.

Lattice parameters (Å, degrees): 3.7635 3.7635 4.8886 90.00 90.00 90.00
Closest atoms and distances in Å follow each position.
Space group P4/mmm (No. 123)
Asymmetric unit:
K 0.0000 0.0000 0.0000  4 Ru 2.66
Tc 0.0000 0.5000 0.5000  4 Tc 2.66
Ru 0.5000 0.5000 0.0000  4 K 2.66

Output
energy above the lowest structure with this stoichiometry: 0.973 eV/atom
energy of formation from the pure elements: 1.722 eV per atom
electronic total energy: -0.445 Ry per atom

***

Record 6
Here is a geometry-optimized NaCaSb2S structure from Alexandria via LeMat-Bulk. Energies are from PBE.

Lattice parameters (Å, degrees): 5.2058 5.2058 5.9031 90.00 90.00 90.00
Closest atoms and distances in Å follow each position.
Space group P4/mmm (No. 123)
Asymmetric unit:
Na 0.0000 0.0000 0.0000  4 Sb 2.60
Ca 0.0000 0.0000 0.5000  2 Na 2.95
Sb 0.0000 0.5000 0.0000  2 Na 2.60
S 0.5000 0.5000 0.5000  4 Ca 3.68, 8 Sb 3.94

Output
electronic total energy: -0.194 Ry per atom

***

Record 7
Here is a geometry-optimized BaCaSmIn structure from Alexandria via LeMat-Bulk. Energies are from PBE.

Lattice parameters (Å, degrees): 8.3124 8.3124 8.3124 90.00 90.00 90.00
Closest atoms and distances in Å follow each position.
Space group F-43m (No. 216)
Asymmetric unit:
Ba 0.0000 0.0000 0.0000  4 In 3.60, 4 Ca 3.60
Ca 0.2500 0.2500 0.7500  4 Ba 3.60, 4 Sm 3.60
Sm 0.0000 0.0000 0.5000  4 Ca 3.60, 4 In 3.60
In 0.2500 0.2500 0.2500  4 Ba 3.60, 4 Sm 3.60

Output
energy of formation from the pure elements: -0.096 eV per atom
electronic total energy: -0.216 Ry per atom

***

Record 8
Here is a geometry-optimized Pm12NdSm6 structure from Alexandria via LeMat-Bulk. Energies are from PBE.

Lattice parameters (Å, degrees): 12.2275 12.2275 15.3205 90.00 90.00 120.00
Closest atoms and distances in Å follow each position.
Space group R-3 (No. 148, hexagonal axes)
Asymmetric unit:
Pm 0.0059 0.1745 0.1912  4 Pm 3.48-3.65, 4 Sm 3.56-3.74, 1 Nd 3.60
Pm 0.0465 0.1951 0.4167  6 Pm 3.34-3.74, 3 Sm 3.40-3.50
Nd 0.0000 0.0000 0.0000  6 Sm 3.56, 6 Pm 3.60
Sm 0.0122 0.5888 0.6844  7 Pm 3.40-3.74, 1 Nd 3.56, 2 Sm 3.59

Output
energy above the lowest structure with this stoichiometry: 0.000 eV/atom
energy of formation from the pure elements: 0.134 eV per atom
electronic total energy: -0.339 Ry per atom

***

Record 9
Here is a geometry-optimized Pu5Se5N structure from Alexandria via LeMat-Bulk. Energies are from PBE.

Lattice parameters (Å, degrees): 12.8584 5.6976 7.9699 90.00 109.53 90.00
Closest atoms and distances in Å follow each position.
Space group C2/m (No. 12)
Asymmetric unit:
Pu 0.0000 0.0000 0.0000  2 N 2.85, 4 Se 2.87-2.90
Pu 0.1492 0.5000 0.3006  1 N 2.52
Pu 0.1489 0.5000 0.8490  1 N 2.58, 3 Se 2.80-2.86
Se 0.0000 0.5000 0.5000  4 Pu 2.80-2.87
Se 0.1621 0.0000 0.8251  5 Pu 2.86-2.92
Se 0.1810 0.0000 0.3358  5 Pu 2.88-3.02
N 0.0000 0.5000 0.0000  4 Pu 2.52-2.58

Output
electronic total energy: -0.744 Ry per atom

***

Record 10
Here is a geometry-optimized Hf2ZnOs structure from Alexandria via LeMat-Bulk. Energies are from PBE.

Lattice parameters (Å, degrees): 3.1895 3.1895 29.0567 90.00 90.00 120.00
Closest atoms and distances in Å follow each position.
Space group R-3m (No. 166, hexagonal axes)
Asymmetric unit:
Hf 0.0000 0.0000 0.0990  3 Os 2.69, 1 Zn 2.88
Zn 0.0000 0.0000 0.0000  2 Hf 2.88, 6 Zn 3.19
Os 0.0000 0.0000 0.5000  6 Hf 2.69

Output
energy of formation from the pure elements: 0.324 eV per atom
electronic total energy: -0.572 Ry per atom

***

Record 11
Here is a geometry-optimized K2Te2Br structure from Alexandria via LeMat-Bulk. Energies are from PBE.

Lattice parameters (Å, degrees): 4.4357 4.4357 18.8777 90.00 90.00 90.00
Closest atoms and distances in Å follow each position.
Space group I4/mmm (No. 139)
Asymmetric unit:
K 0.0000 0.0000 0.0988  4 Te 3.61, 4 Br 3.65, 1 K 3.73
Te 0.0000 0.5000 0.2500  4 Te 3.14
Br 0.0000 0.0000 0.5000  8 K 3.65

Output
energy above the lowest structure with this stoichiometry: 0.000 eV/atom
electronic total energy: -0.224 Ry per atom

***

Record 12
Here is a geometry-optimized PmAsRh structure from Alexandria via LeMat-Bulk. Energies are from PBE.

Lattice parameters (Å, degrees): 4.2526 4.2526 12.1050 90.00 90.00 120.00
Closest atoms and distances in Å follow each position.
Space group P-6m2 (No. 187)
Asymmetric unit:
Pm 0.0000 0.0000 0.0000  6 As 3.15, 6 Rh 3.21
Pm 0.0000 0.0000 0.3336  6 Rh 3.14-3.18, 6 As 3.18-3.21
As 0.3333 0.6667 0.5000  3 Rh 2.46
As 0.6667 0.3333 0.1632  3 Rh 2.46
Rh 0.3333 0.6667 0.1713  3 As 2.46
Rh 0.6667 0.3333 0.5000  3 As 2.46

Output
energy above the lowest structure with this stoichiometry: 0.000 eV/atom
energy of formation from the pure elements: -1.080 eV per atom
electronic total energy: -0.490 Ry per atom